Entry 1:
Density functional theory data (PBE-GGA) for ErMg after structural relaxation.

The structure in CIF format:
```
data_ErMg
_space_group_name_H-M_alt 'P m m n'
_space_group_IT_number 59
_cell_length_a 5.364
_cell_length_b 6.989
_cell_length_c 11.424
_cell_angle_alpha 90.00
_cell_angle_beta 90.00
_cell_angle_gamma 90.00
loop_
_space_group_symop_operation_xyz
'x,y,z'
'-x,-y,-z'
'-x+1/2,-y+1/2,z'
'x+1/2,y+1/2,-z'
'x+1/2,-y,-z'
'-x+1/2,y,z'
'-x,y+1/2,-z'
'x,-y+1/2,z'
loop_
_atom_site_label
_atom_site_type_symbol
_atom_site_fract_x
_atom_site_fract_y
_atom_site_fract_z
Er1 Er 0.250 0.006 0.089
Er2 Er 0.250 0.250 0.350
Er3 Er 0.250 0.250 0.816
Mg1 Mg 0.250 0.506 0.585
Mg2 Mg 0.250 0.750 0.357
Mg3 Mg 0.250 0.750 0.825
```

Total energy ... -3.0728 eV per atom
Size of the total moment ... 0.04 μB/atom

Entry 2:
Density functional theory data (PBE-GGA) for ErMg after structural relaxation.

The structure in CIF format:
```
data_ErMg
_space_group_name_H-M_alt 'P m m 2'
_space_group_IT_number 25
_space_group_name_Hall 'P 2 -2'
_cell_length_a 5.422
_cell_length_b 6.818
_cell_length_c 5.907
_cell_angle_alpha 90.00
_cell_angle_beta 90.00
_cell_angle_gamma 90.00
loop_
_atom_site_label
_atom_site_type_symbol
_atom_site_fract_x
_atom_site_fract_y
_atom_site_fract_z
Er1 Er 0.000 0.000 0.000
Er2 Er 0.000 0.250 0.508
Er3 Er 0.500 0.000 0.347
Mg1 Mg 0.000 0.500 0.013
Mg2 Mg 0.500 0.254 0.840
Mg3 Mg 0.500 0.500 0.334
```

Total energy ... -3.0121 eV per atom
Size of the total moment ... 0.01 μB/atom

> Which of these has the lowest size of the total moment?

number 2